Entry 1:
Material: PaAlTc2H6
Method: DFT, GGA-PBE
State: relaxed

calculated total energy = -5.6449 eV/atom
magnetization = 0.00 μB/atom
N(E_F) = 4.0 states/eV/cell

a b c (Å): 4.4317 4.4317 5.8719
angles (deg): 67.83 67.83 60.00
Last column: nearest neighbours and their distance in Å.
Atoms (fractional coordinates):
Tc: 0.1996 0.1996 0.4011  3 H 1.76
Tc: 0.8004 0.8004 0.5989  3 H 1.76
H: 0.5576 0.5577 0.8258  1 Tc 1.76, 1 H 1.84
H: 0.9412 0.4424 0.1742  1 Tc 1.76, 1 H 1.84
H: 0.5577 0.0588 0.8258  1 Tc 1.76, 1 H 1.84
H: 0.0588 0.5576 0.8258  1 Tc 1.76, 1 H 1.84
H: 0.4424 0.4423 0.1742  1 Tc 1.76, 1 H 1.84
H: 0.4423 0.9412 0.1742  1 Tc 1.76, 1 H 1.84
Pa: 0.0000 0.0000 0.0000  12 H 2.40
Al: 0.5000 0.5000 0.5000  6 H 2.14

Entry 2:
Material: EuPuInBi
Method: DFT, GGA-PBE
State: relaxed

energy relative to the elements = -0.32 eV/atom
magnetization = 0.30 μB/atom
N(E_F) = 14.3 states/eV/cell

a b c (Å): 5.5573 5.5573 5.5573
angles (deg): 60.00 60.00 60.00
Last column: nearest neighbours and their distance in Å.
Atoms (fractional coordinates):
Bi: 0.7500 0.7500 0.7500  4 Pu 3.40, 4 Eu 3.40
Eu: 0.5000 0.5000 0.5000  4 Bi 3.40, 4 In 3.40
Pu: 0.0000 0.0000 0.0000  4 In 3.40, 4 Bi 3.40
In: 0.2500 0.2500 0.2500  4 Pu 3.40, 4 Eu 3.40

Entry 3:
Material: LiCa2Si3Au12
Method: DFT, GGA-PBE
State: relaxed

magnetization = 0.00 μB/atom
N(E_F) = 4.9 states/eV/cell
E_form (uncorrected) = -0.16 eV/atom

a b c (Å): 7.6312 7.6312 7.6312
angles (deg): 73.14 73.14 73.14
Last column: nearest neighbours and their distance in Å.
Atoms (fractional coordinates):
Ca: 0.6047 0.6047 0.6047  6 Au 2.92-3.26
Ca: 0.3953 0.3953 0.3953  6 Au 2.92-3.26
Au: 0.6898 0.1479 0.6898  2 Si 2.53
Au: 0.1491 0.6382 0.1491  1 Si 2.42, 1 Li 2.71
Au: 0.6898 0.6898 0.1479  2 Si 2.53
Au: 0.1491 0.1491 0.6382  1 Si 2.42, 1 Li 2.71
Au: 0.3102 0.3102 0.8521  2 Si 2.53
Au: 0.1479 0.6898 0.6898  2 Si 2.53
Au: 0.8521 0.3102 0.3102  2 Si 2.53
Au: 0.6382 0.1491 0.1491  1 Si 2.42, 1 Li 2.71
Au: 0.8509 0.3618 0.8509  1 Si 2.42, 1 Li 2.71
Au: 0.3102 0.8521 0.3102  2 Si 2.53
Au: 0.8509 0.8509 0.3618  1 Si 2.42, 1 Li 2.71
Au: 0.3618 0.8509 0.8509  1 Si 2.42, 1 Li 2.71
Si: 0.0000 0.0000 0.5000  6 Au 2.42-2.53
Si: 0.5000 0.0000 0.0000  6 Au 2.42-2.53
Si: 0.0000 0.5000 0.0000  6 Au 2.42-2.53
Li: 0.0000 0.0000 0.0000  6 Au 2.71

Entry 4:
Material: Sc2SnPdAu
Method: DFT, GGA-PBE
State: relaxed

energy relative to the elements = 0.02 eV/atom
magnetization = 0.00 μB/atom
N(E_F) = 3.9 states/eV/cell

a b c (Å): 5.0578 5.0065 5.0578
angles (deg): 90.00 90.00 90.00
Last column: nearest neighbours and their distance in Å.
Atoms (fractional coordinates):
Sc: 0.5000 0.0000 0.0000  2 Au 2.53
Sc: 0.0000 0.0000 0.5000  2 Au 2.53
Pd: 0.0000 0.5000 0.0000  2 Au 2.50
Sn: 0.5000 0.5000 0.5000  8 Sc 3.56, 4 Pd 3.58
Au: 0.0000 0.0000 0.0000  2 Pd 2.50, 4 Sc 2.53

Entry 5:
Material: ScHg2Br
Method: DFT, GGA-PBE
State: relaxed

energy above the most stable polymorph in this dataset = 126 meV/atom
magnetization = 0.00 μB/atom
N(E_F) = 3.7 states/eV/cell
E_form (uncorrected) = -0.40 eV/atom

a b c (Å): 7.1986 7.1986 7.1986
angles (deg): 153.25 141.85 47.21
Last column: nearest neighbours and their distance in Å.
Atoms (fractional coordinates):
Br: 0.2500 0.7500 0.5000  4 Sc 2.88
Hg: 0.5530 0.5530 0.0000  2 Sc 3.09, 6 Hg 3.20-3.33
Hg: 0.9470 0.9470 0.0000  2 Sc 3.09, 6 Hg 3.20-3.33
Sc: 0.7500 0.2500 0.5000  4 Br 2.88, 4 Hg 3.09

Entry 6:
Material: GaNi3Pb
Method: DFT, GGA-PBE
State: relaxed

energy above the most stable polymorph in this dataset = 0 meV/atom
energy relative to the elements = 0.46 eV/atom
magnetization = 0.00 μB/atom
N(E_F) = 4.2 states/eV/cell

a b c (Å): 4.4200 4.4200 4.4200
angles (deg): 90.00 90.00 90.00
Last column: nearest neighbours and their distance in Å.
Atoms (fractional coordinates):
Ni: 0.0000 0.5000 0.0000  2 Ga 2.21
Ni: 0.0000 0.0000 0.5000  2 Ga 2.21
Ni: 0.5000 0.0000 0.0000  2 Ga 2.21
Ga: 0.0000 0.0000 0.0000  6 Ni 2.21
Pb: 0.5000 0.5000 0.5000  12 Ni 3.13

Entry 7:
Material: CaHO2
Method: DFT, GGA-PBE
State: relaxed

calculated total energy = -3.3415 eV/atom
magnetization = 0.31 μB/atom
N(E_F) = 2.4 states/eV/cell

a b c (Å): 5.9219 5.9219 5.9219
angles (deg): 31.25 31.25 31.25
Last column: nearest neighbours and their distance in Å.
Atoms (fractional coordinates):
Ca: 0.0000 0.0000 0.0000  2 O 2.02
H: 0.5000 0.5000 0.5000  6 O 2.01
O: 0.1197 0.1197 0.1197  3 H 2.01, 1 Ca 2.02
O: 0.8803 0.8803 0.8803  3 H 2.01, 1 Ca 2.02